# 1
DFT (PBE) results for a geometry-optimized Nd2PuP3 structure.

Computed properties:
**Volume**: 24.49 Å³/atom
**M_tot**: 4.870 μB per formula unit
**Electronic total energy**: -8.086 eV per atom

Lattice parameters (Å, degrees): 4.110 4.110 10.044 90.00 90.00 120.00
Positions (direct):
Nd 0.333 0.667 0.331
Nd 0.667 0.333 0.669
Pu 0.000 0.000 0.000
P 0.000 0.000 0.500
P 0.333 0.667 0.847
P 0.667 0.333 0.153

=====

# 2
DFT (PBE) results for a geometry-optimized InAgTe3Pb structure.

Computed properties:
**Polymorph energy (0 for the lowest one)**: 42 meV per atom
**Volume**: 29.62 Å³/atom
**Electronic total energy**: -3.258 eV per atom

Lattice parameters (Å, degrees): 7.690 7.690 11.659 90.00 90.00 148.97
Positions (direct):
In 0.230 0.770 0.750
In 0.770 0.230 0.250
Ag 0.473 0.527 0.250
Ag 0.527 0.473 0.750
Te 0.107 0.893 0.250
Te 0.340 0.660 0.071
Te 0.340 0.660 0.429
Te 0.660 0.340 0.571
Te 0.660 0.340 0.929
Te 0.893 0.107 0.750
Pb 0.000 0.000 0.000
Pb 0.000 0.000 0.500

=====

# 3
DFT (PBE) results for a geometry-optimized NdW structure.

Computed properties:
**Polymorph energy (0 for the lowest one)**: 818 meV per atom
**Energy relative to the elements**: 1868.8 meV per atom
**Volume**: 26.05 Å³/atom
**M_tot**: 0.098 μB per formula unit
**Electronic total energy**: -6.993 eV per atom

Lattice parameters (Å, degrees): 4.192 4.192 4.192 60.00 60.00 60.00
Positions (direct):
Nd 0.000 0.000 0.000
W 0.500 0.500 0.500

=====

# 4
DFT (PBE) results for a geometry-optimized SrTbU structure.

Computed properties:
**Volume**: 42.56 Å³/atom
**M_tot**: 4.490 μB per formula unit
**Electronic total energy**: -4.290 eV per atom

Lattice parameters (Å, degrees): 5.652 5.652 5.652 60.00 60.00 60.00
Positions (direct):
Sr 0.000 0.000 0.000
Tb 0.500 0.500 0.500
U 0.250 0.250 0.250

=====

# 5
DFT (PBE) results for a geometry-optimized NbAg2PO6 structure.

Computed properties:
**Volume**: 12.71 Å³/atom
**M_tot**: 0.001 μB per formula unit
**Electronic total energy**: -6.770 eV per atom

Lattice parameters (Å, degrees): 7.016 7.016 6.309 90.41 90.41 54.96
Positions (direct):
Nb 0.120 0.120 0.088
Nb 0.880 0.880 0.912
Ag 0.132 0.624 0.397
Ag 0.376 0.868 0.603
Ag 0.624 0.132 0.397
Ag 0.868 0.376 0.603
P 0.352 0.352 0.851
P 0.648 0.648 0.149
O 0.015 0.015 0.785
O 0.190 0.574 0.985
O 0.213 0.213 0.310
O 0.229 0.229 0.815
O 0.414 0.414 0.643
O 0.426 0.810 0.015
O 0.574 0.190 0.985
O 0.586 0.586 0.357
O 0.771 0.771 0.185
O 0.787 0.787 0.690
O 0.810 0.426 0.015
O 0.985 0.985 0.215

=====

# 6
DFT (PBE) results for a geometry-optimized KErCdTe3 structure.

Computed properties:
**Polymorph energy (0 for the lowest one)**: 114 meV per atom
**Volume**: 32.11 Å³/atom
**M_tot**: 0.000 μB per formula unit
**Electronic total energy**: -3.597 eV per atom

Lattice parameters (Å, degrees): 8.794 4.749 18.451 90.00 90.00 90.00
Positions (direct):
K 0.061 0.250 0.194
K 0.439 0.750 0.694
K 0.561 0.250 0.306
K 0.939 0.750 0.806
Er 0.235 0.250 0.960
Er 0.265 0.750 0.460
Er 0.735 0.250 0.540
Er 0.765 0.750 0.040
Cd 0.082 0.250 0.658
Cd 0.418 0.750 0.158
Cd 0.582 0.250 0.842
Cd 0.918 0.750 0.342
Te 0.002 0.250 0.424
Te 0.128 0.750 0.054
Te 0.236 0.250 0.794
Te 0.264 0.750 0.294
Te 0.372 0.250 0.554
Te 0.498 0.750 0.924
Te 0.502 0.250 0.076
Te 0.628 0.750 0.446
Te 0.736 0.250 0.706
Te 0.764 0.750 0.206
Te 0.872 0.250 0.946
Te 0.998 0.750 0.576

=====

# 7
DFT (PBE) results for a geometry-optimized ZrIn2Hg structure.

Computed properties:
**Volume**: 22.63 Å³/atom
**M_tot**: 0.037 μB per formula unit
**Electronic total energy**: -3.684 eV per atom

Lattice parameters (Å, degrees): 5.779 5.779 5.779 136.43 136.43 63.32
Positions (direct):
Zr 0.000 0.000 0.000
In 0.250 0.750 0.500
In 0.750 0.250 0.500
Hg 0.500 0.500 0.000

=====

# 8
DFT (PBE) results for a geometry-optimized PuFeSi structure.

Computed properties:
**Volume**: 18.03 Å³/atom
**M_tot**: 3.303 μB per formula unit
**Electronic total energy**: -9.459 eV per atom

Lattice parameters (Å, degrees): 4.245 4.245 4.245 60.00 60.00 60.00
Positions (direct):
Pu 0.000 0.000 0.000
Fe 0.250 0.250 0.250
Si 0.500 0.500 0.500

=====

# 9
DFT (PBE) results for a geometry-optimized Cs2CdInBr6 structure.

Computed properties:
**Volume**: 36.52 Å³/atom
**Electronic total energy**: -2.753 eV per atom

Lattice parameters (Å, degrees): 8.023 8.023 8.022 119.99 119.99 60.01
Positions (direct):
Cs 0.250 0.250 0.250
Cs 0.750 0.750 0.750
Cd 0.000 0.000 0.500
In 0.500 0.500 0.000
Br 0.248 0.750 0.251
Br 0.249 0.249 0.748
Br 0.250 0.752 0.749
Br 0.750 0.248 0.251
Br 0.751 0.751 0.252
Br 0.752 0.250 0.749

=====

# 10
DFT (PBE) results for a geometry-optimized Pr2CoN3 structure.

Computed properties:
**Volume**: 14.04 Å³/atom
**M_tot**: 0.019 μB per formula unit
**Electronic total energy**: -7.776 eV per atom

Lattice parameters (Å, degrees): 6.849 6.849 6.849 149.21 149.09 44.20
Positions (direct):
Pr 0.148 0.148 0.000
Pr 0.852 0.852 0.000
Co 0.500 0.500 0.000
N 0.340 0.340 0.000
N 0.500 0.000 0.500
N 0.660 0.660 0.000

=====

# 11
DFT (PBE) results for a geometry-optimized NaSi2Au2 structure.

Computed properties:
**Polymorph energy (0 for the lowest one)**: 0 meV per atom
**Volume**: 19.18 Å³/atom
**Electronic total energy**: -3.904 eV per atom

Lattice parameters (Å, degrees): 5.816 5.816 5.816 135.30 135.30 65.07
Positions (direct):
Na 0.000 0.000 0.000
Si 0.381 0.381 0.000
Si 0.619 0.619 0.000
Au 0.250 0.750 0.500
Au 0.750 0.250 0.500

=====

# 12
DFT (PBE) results for a geometry-optimized PrTlSn structure.

Computed properties:
**Volume**: 33.81 Å³/atom
**M_tot**: 0.016 μB per formula unit
**Electronic total energy**: -3.883 eV per atom

Lattice parameters (Å, degrees): 5.235 5.235 5.235 60.00 60.00 60.00
Positions (direct):
Pr 0.000 0.000 0.000
Tl 0.500 0.500 0.500
Sn 0.250 0.250 0.250

=====

# 13
DFT (PBE) results for a geometry-optimized GdTmCd6 structure.

Computed properties:
**Polymorph energy (0 for the lowest one)**: 12 meV per atom
**Energy relative to the elements**: -269.9 meV per atom
**Volume**: 22.79 Å³/atom
**M_tot**: 0.001 μB per formula unit
**Electronic total energy**: -2.083 eV per atom

Lattice parameters (Å, degrees): 5.044 5.044 7.168 90.00 90.00 90.00
Positions (direct):
Gd 0.000 0.000 0.000
Tm 0.500 0.500 0.500
Cd 0.000 0.000 0.500
Cd 0.000 0.500 0.254
Cd 0.000 0.500 0.746
Cd 0.500 0.000 0.254
Cd 0.500 0.000 0.746
Cd 0.500 0.500 0.000